(1)
Tb5Bi2N (PBE, relaxed); ΔE_f (raw) = -0.42 eV/atom
1.0
2.267 -8.214 0.000
2.267 8.214 0.000
0.000 0.000 13.833
Tb Bi N
10 4 2
Direct
0.104 0.896 0.620
0.104 0.896 0.880
0.261 0.739 0.250
0.303 0.697 0.561
0.303 0.697 0.939
0.697 0.303 0.061
0.697 0.303 0.439
0.739 0.261 0.750
0.896 0.104 0.120
0.896 0.104 0.380
0.086 0.914 0.125
0.086 0.914 0.375
0.914 0.086 0.625
0.914 0.086 0.875
0.188 0.812 0.750
0.812 0.188 0.250

=====

(2)
CsZrI3 (PBE, relaxed); relative energy among the computed polymorphs = 179 meV per atom; ΔE_f (raw) = -0.86 eV/atom
1.0
0.000 7.856 7.856
7.856 0.000 7.856
7.856 7.856 0.000
Cs Zr I
4 4 12
Direct
0.000 0.000 0.000
0.000 0.000 0.500
0.000 0.500 0.000
0.500 0.000 0.000
0.000 0.500 0.500
0.500 0.000 0.500
0.500 0.500 0.000
0.500 0.500 0.500
0.178 0.178 0.572
0.178 0.572 0.178
0.178 0.572 0.572
0.428 0.428 0.822
0.428 0.822 0.428
0.428 0.822 0.822
0.572 0.178 0.178
0.572 0.178 0.572
0.572 0.572 0.178
0.822 0.428 0.428
0.822 0.428 0.822
0.822 0.822 0.428

=====

(3)
Li3ZrBr (PBE, relaxed); relative energy among the computed polymorphs = 0 meV per atom; ΔE_f (raw) = 0.20 eV/atom
1.0
4.929 0.000 0.000
0.000 4.929 0.000
0.000 0.000 4.929
Li Zr Br
3 1 1
Direct
0.000 0.000 0.500
0.000 0.500 0.000
0.500 0.000 0.000
0.500 0.500 0.500
0.000 0.000 0.000

=====

(4)
PmBeNi (PBE, relaxed); relative energy among the computed polymorphs = 35 meV per atom
1.0
3.967 0.000 0.000
-1.984 3.436 0.000
0.000 0.000 3.876
Pm Be Ni
1 1 1
Direct
0.000 0.000 0.000
0.667 0.333 0.500
0.333 0.667 0.500

=====

(5)
RbBa2Os2 (PBE, relaxed); relative energy among the computed polymorphs = 391 meV per atom
1.0
9.653 0.000 0.000
0.000 9.653 0.000
0.000 0.000 3.507
Rb Ba Os
2 4 4
Direct
0.000 0.000 0.000
0.500 0.500 0.000
0.186 0.314 0.000
0.314 0.814 0.000
0.686 0.186 0.000
0.814 0.686 0.000
0.084 0.584 0.500
0.416 0.084 0.500
0.584 0.916 0.500
0.916 0.416 0.500

=====

(6)
Entry from the Alexandria database: PRuRh2 after structural relaxation (PBE).

POSCAR file:
```
PRuRh2
1.0
2.625 -3.759 0.000
2.625 3.759 0.000
0.000 0.000 2.781
P Ru Rh
1 1 2
Direct
0.000 0.000 0.000
0.500 0.500 0.000
0.000 0.500 0.500
0.500 0.000 0.500
```

=====

(7)
KNi3Au (PBE, relaxed); relative energy among the computed polymorphs = 995 meV per atom
1.0
4.432 0.000 0.000
0.000 4.432 0.000
0.000 0.000 4.432
K Ni Au
1 3 1
Direct
0.000 0.000 0.000
0.000 0.000 0.500
0.000 0.500 0.000
0.500 0.000 0.000
0.500 0.500 0.500

=====

(8)
Entry from the Alexandria database: Nd2Ho3Hg2 after structural relaxation (PBE).

POSCAR file:
```
Nd2Ho3Hg2
1.0
5.948 -2.382 0.000
5.948 2.382 0.000
-3.555 0.000 7.507
Nd Ho Hg
2 3 2
Direct
0.133 0.133 0.286
0.867 0.867 0.714
0.371 0.371 0.045
0.500 0.500 0.500
0.629 0.629 0.955
0.153 0.153 0.699
0.847 0.847 0.301
```

=====

(9)
MgBiO2 (PBE, relaxed); relative energy among the computed polymorphs = 0 meV per atom; ΔE_f (raw) = -1.53 eV/atom
1.0
1.615 0.933 6.444
-1.615 0.933 6.444
0.000 -1.865 6.444
Mg Bi O
1 1 2
Direct
0.000 0.000 0.000
0.500 0.500 0.500
0.387 0.387 0.387
0.613 0.613 0.613

=====

(10)
SnSbTeSe (PBE, relaxed); ΔE_f (raw) = 0.06 eV/atom
1.0
4.728 0.000 0.000
-2.364 4.094 0.000
0.000 0.000 8.351
Sn Sb Te Se
1 1 1 1
Direct
0.000 0.000 0.000
0.667 0.333 0.430
0.667 0.333 0.821
0.000 0.000 0.385

=====

(11)
Co2SiHg (PBE, relaxed); relative energy among the computed polymorphs = 439 meV per atom; ΔE_f (raw) = 0.34 eV/atom
1.0
1.411 0.814 8.558
-1.411 0.814 8.558
0.000 -1.629 8.558
Co Si Hg
2 1 1
Direct
0.000 0.000 0.000
0.263 0.263 0.263
0.529 0.529 0.529
0.758 0.758 0.758

=====

(12)
Mg3CO6 (PBE, relaxed); ΔE_f (raw) = -1.83 eV/atom
1.0
4.152 -5.325 0.000
4.152 5.325 0.000
0.000 0.000 4.434
Mg C O
6 2 12
Direct
0.108 0.892 0.500
0.190 0.429 0.471
0.429 0.190 0.971
0.571 0.810 0.471
0.810 0.571 0.971
0.892 0.108 0.000
0.298 0.702 0.924
0.702 0.298 0.424
0.104 0.624 0.798
0.161 0.177 0.737
0.177 0.161 0.237
0.294 0.706 0.236
0.376 0.896 0.798
0.421 0.579 0.808
0.579 0.421 0.308
0.624 0.104 0.298
0.706 0.294 0.736
0.823 0.839 0.737
0.839 0.823 0.237
0.896 0.376 0.298

=====

Raw total energy values, unit eV/atom, following the record order: -5.32, -3.67, -2.99, -4.95, -4.43, -7.34, -2.41, -3.61, -5.38, -3.63, -4.64, -6.21.